Entry 1:
Density functional theory data (PBE) for crystalline TmNpFe4 at its relaxed geometry.

## Properties
SG: P-3m1
Formation energy from the elements in eV/atom: 0.0420
Energy relative to the lowest polymorph listed for this composition in eV/atom: 0.0000

abc: 4.8896 4.8896 8.4913
angles: 90.00 90.00 120.00
With the nearest neighbours (Å) after each atom.
Fractional coordinates of all 12 atoms:
Fe1 0.6669 0.8334 0.7467  6 Fe 2.44-2.57
Fe2 0.1666 0.3331 0.7467  6 Fe 2.44-2.57
Fe3 0.0000 0.0000 0.0000  6 Fe 2.57, 6 Np 2.85
Fe4 0.1666 0.8334 0.7467  6 Fe 2.44-2.57
Fe5 0.3331 0.1666 0.2533  6 Fe 2.44-2.57
Fe6 0.8334 0.1666 0.2533  6 Fe 2.44-2.57
Fe7 0.0000 0.0000 0.5000  6 Fe 2.53
Fe8 0.8334 0.6669 0.2533  6 Fe 2.44-2.57
Np1 0.6667 0.3333 0.9552  12 Fe 2.85-3.02, 3 Np 2.92
Np2 0.3333 0.6667 0.0448  12 Fe 2.85-3.02, 3 Np 2.92
Tm1 0.6667 0.3333 0.5707  12 Fe 2.87-3.04, 3 Tm 3.07
Tm2 0.3333 0.6667 0.4293  12 Fe 2.87-3.04, 3 Tm 3.07

Entry 2:
Density functional theory data (PBE) for crystalline TmNp2Fe9 at its relaxed geometry.

## Properties
SG: R-3m
Formation energy from the elements in eV/atom: 0.0067

abc: 4.8077 4.8077 8.8132
angles: 74.17 74.17 60.00
With the nearest neighbours (Å) after each atom.
Fractional coordinates of all 12 atoms:
Tm1 0.0000 0.0000 0.0000  6 Fe 2.78
Np1 0.1444 0.1444 0.5668  12 Fe 2.83-3.06, 3 Np 2.99
Np2 0.8556 0.8556 0.4332  12 Fe 2.83-3.06, 3 Np 2.99
Fe1 0.5792 0.0835 0.7582  7 Fe 2.38-2.56
Fe2 0.4208 0.9165 0.2418  7 Fe 2.38-2.56
Fe3 0.4208 0.4208 0.2418  7 Fe 2.38-2.56
Fe4 0.5792 0.5792 0.7582  7 Fe 2.38-2.56
Fe5 0.5000 0.5000 0.5000  6 Fe 2.56, 6 Np 2.83
Fe6 0.3320 0.3320 0.0040  6 Fe 2.43-2.47
Fe7 0.9165 0.4208 0.2418  7 Fe 2.38-2.56
Fe8 0.0835 0.5792 0.7582  7 Fe 2.38-2.56
Fe9 0.6680 0.6680 0.9960  6 Fe 2.43-2.47

Entry 3:
Density functional theory data (PBE) for crystalline Tm3NpFe8 at its relaxed geometry.

## Properties
SG: R3m
Formation energy from the elements in eV/atom: -0.0845

abc: 5.1311 5.1311 8.6516
angles: 72.75 72.75 60.00
With the nearest neighbours (Å) after each atom.
Fractional coordinates of all 12 atoms:
Tm1 0.3755 0.3755 0.8736  12 Fe 2.94-3.00, 4 Tm 3.09-3.15
Tm2 0.9986 0.9986 0.0041  12 Fe 2.96-3.01, 3 Tm 3.15, 1 Np 3.24
Tm3 0.5021 0.5021 0.4937  12 Fe 2.91-3.00, 3 Np 3.05, 1 Tm 3.09
Fe1 0.1891 0.1891 0.4327  6 Fe 2.49-2.51
Fe2 0.4373 0.4373 0.1865  6 Fe 2.49-2.57
Fe3 0.9402 0.9402 0.6829  6 Fe 2.51-2.58, 1 Np 2.72
Fe4 0.4367 0.9402 0.6829  6 Fe 2.51-2.58, 1 Np 2.72
Fe5 0.6882 0.6882 0.9353  6 Fe 2.53-2.54
Fe6 0.9402 0.4367 0.6829  6 Fe 2.51-2.58, 1 Np 2.72
Fe7 0.9389 0.4373 0.1865  6 Fe 2.49-2.57
Fe8 0.4373 0.9389 0.1865  6 Fe 2.49-2.57
Np1 0.8658 0.8658 0.4025  6 Fe 2.72-2.97

Entry 4:
Density functional theory data (PBE) for crystalline TmNpFe at its relaxed geometry.

## Properties
SG: C2/m
Formation energy from the elements in eV/atom: 0.0996

abc: 4.6402 5.4725 5.7337
angles: 73.64 66.13 64.92
With the nearest neighbours (Å) after each atom.
Fractional coordinates of all 6 atoms:
Tm1 0.9090 0.8181 0.3640  5 Fe 2.93-3.13, 3 Np 3.08-3.25
Tm2 0.0910 0.1819 0.6360  5 Fe 2.93-3.13, 3 Np 3.08-3.25
Np1 0.6279 0.7555 0.9886  1 Fe 2.14
Np2 0.3721 0.2445 0.0114  1 Fe 2.14
Fe1 0.3496 0.5854 0.7155  1 Np 2.14
Fe2 0.6504 0.4146 0.2845  1 Np 2.14

Entry 5:
Density functional theory data (PBE) for crystalline TmNpFe4 at its relaxed geometry.

## Properties
SG: F-43m
Formation energy from the elements in eV/atom: 0.1298
Energy relative to the lowest polymorph listed for this composition in eV/atom: 0.0878

abc: 5.0082 5.0082 5.0082
angles: 60.00 60.00 60.00
With the nearest neighbours (Å) after each atom.
Fractional coordinates of all 6 atoms:
Fe1 0.6244 0.6244 0.1268  6 Fe 2.49-2.52
Fe2 0.6244 0.1268 0.6244  6 Fe 2.49-2.52
Fe3 0.1268 0.6244 0.6244  6 Fe 2.49-2.52
Fe4 0.6244 0.6244 0.6244  6 Fe 2.49-2.52
Np1 0.2500 0.2500 0.2500  12 Fe 2.94, 4 Tm 3.07
Tm1 0.0000 0.0000 0.0000  12 Fe 2.94, 4 Np 3.07

Entry 6:
Density functional theory data (PBE) for crystalline NpU2Fe at its relaxed geometry.

## Properties
SG: R-3m
Formation energy from the elements in eV/atom: 0.3078

abc: 3.5995 3.5995 6.7493
angles: 74.53 74.53 60.00
With the nearest neighbours (Å) after each atom.
Fractional coordinates of all 4 atoms:
U1 0.2486 0.2486 0.2542  3 Fe 2.61, 3 Np 2.64
U2 0.7514 0.7514 0.7458  3 Fe 2.61, 3 Np 2.64
Fe1 0.5000 0.5000 0.5000  6 U 2.61
Np1 0.0000 0.0000 0.0000  6 U 2.64

How do the records compare in total magnetic moment? In the order shown, they have 6.696 0.607 10.629 1.540 7.961 0.000 μB per formula unit.